VASP calculation (SCAN) on a crystal of AlSiIr relaxed with PBEsol.

Unit cell a=2.8225 b=2.8225 c=10.5630 alpha=90.00 beta=90.00 gamma=90.00
Closest atoms and distances in Å follow each position.
Space group I4mm (No. 107)
Unique sites:
1 Al 0.0000 0.0000 0.0000 (multiplicity 2)  4 Ir 2.67, 4 Si 2.81, 4 Al 2.82
2 Si 0.0000 0.0000 0.6871 (multiplicity 2)  4 Ir 2.52, 4 Al 2.81
3 Ir 0.0000 0.0000 0.3323 (multiplicity 2)  4 Si 2.52, 4 Al 2.67

Properties
Formation energy from raw total energies = -0.439 eV per atom
DOS(E_F) = 0.339 states/eV per atom